Record 1
This record from Alexandria describes a relaxed Pu2GeC crystal. The functional is GGA-PBE.

Output
DFT formation energy: 0.31 eV per atom
SG: R-3m, No. 166
crystal system: trigonal

abc: 5.463 5.463 5.463
angles: 43.20 43.20 43.20
Element x y z (fractional)
Pu: 0.195 0.195 0.195
Pu: 0.805 0.805 0.805
Ge: 0.000 0.000 0.000
C: 0.500 0.500 0.500

***

Record 2
This record from Alexandria describes a relaxed HfAg crystal. The functional is GGA-PBE.

Output
DFT formation energy: -0.11 eV per atom
SG: P4/nmm, No. 129
crystal system: tetragonal

abc: 3.448 3.448 6.628
angles: 90.00 90.00 90.00
Element x y z (fractional)
Hf: 0.250 0.250 0.140
Hf: 0.750 0.750 0.860
Ag: 0.250 0.250 0.616
Ag: 0.750 0.750 0.384

***

Record 3
This record from Alexandria describes a relaxed CeMgPa crystal. The functional is GGA-PBE.

Output
DFT formation energy: 0.02 eV per atom
SG: P4/nmm, No. 129
energy relative to the lowest polymorph listed for this composition: 0 meV/atom
crystal system: tetragonal

abc: 3.169 3.169 15.030
angles: 90.00 90.00 90.00
Element x y z (fractional)
Ce: 0.250 0.250 0.247
Ce: 0.750 0.750 0.753
Mg: 0.250 0.250 0.576
Mg: 0.750 0.750 0.424
Pa: 0.250 0.250 0.919
Pa: 0.750 0.750 0.081

***

Record 4
This record from Alexandria describes a relaxed ScSbPOs2 crystal. The functional is GGA-PBE.

Output
energy relative to the elements, uncorrected: 1.644 eV/atom
SG: P4/mmm, No. 123
crystal system: tetragonal

abc: 4.808 4.808 4.629
angles: 90.00 90.00 90.00
Element x y z (fractional)
Sc: 0.000 0.000 0.000
Sb: 0.500 0.500 0.500
P: 0.000 0.000 0.500
Os: 0.000 0.500 0.000
Os: 0.500 0.000 0.000

***

Record 5
This record from Alexandria describes a relaxed Cs3In3PbBr8 crystal. The functional is GGA-PBE.

Output
energy relative to the elements, uncorrected: -1.164 eV/atom
SG: C2/m, No. 12
crystal system: monoclinic

abc: 9.691 9.691 10.078
angles: 118.75 118.75 60.03
Element x y z (fractional)
Cs: 0.000 0.000 0.000
Cs: 0.000 0.500 0.000
Cs: 0.500 0.000 0.000
In: 0.000 0.500 0.500
In: 0.500 0.000 0.500
In: 0.500 0.500 0.500
Pb: 0.000 0.000 0.500
Br: 0.221 0.221 0.708
Br: 0.221 0.765 0.707
Br: 0.235 0.779 0.293
Br: 0.258 0.258 0.276
Br: 0.742 0.742 0.724
Br: 0.765 0.221 0.707
Br: 0.779 0.235 0.293
Br: 0.779 0.779 0.292

***

Record 6
This record from Alexandria describes a relaxed KSiTc2 crystal. The functional is GGA-PBE.

Output
energy relative to the elements, uncorrected: 1.007 eV/atom
SG: F-43m, No. 216
crystal system: cubic

abc: 4.548 4.548 4.548
angles: 60.00 60.00 60.00
Element x y z (fractional)
K: 0.000 0.000 0.000
Si: 0.750 0.750 0.750
Tc: 0.250 0.250 0.250
Tc: 0.500 0.500 0.500

***

Record 7
This record from Alexandria describes a relaxed LiSi2Cl crystal. The functional is GGA-PBE.

Output
energy relative to the elements, uncorrected: 0.043 eV/atom
SG: Imm2, No. 44
energy relative to the lowest polymorph listed for this composition: 716 meV/atom
crystal system: orthorhombic

abc: 6.898 6.898 6.898
angles: 155.10 133.45 53.51
Element x y z (fractional)
Li: 0.000 0.000 0.000
Si: 0.188 0.688 0.500
Si: 0.350 0.350 0.000
Cl: 0.856 0.356 0.500

***

Record 8
This record from Alexandria describes a relaxed Na3PRu crystal. The functional is GGA-PBE.

Output
DFT formation energy: 1.27 eV per atom
SG: Pm-3m, No. 221
energy relative to the lowest polymorph listed for this composition: 328 meV/atom
crystal system: cubic

abc: 5.519 5.519 5.519
angles: 90.00 90.00 90.00
Element x y z (fractional)
Na: 0.000 0.000 0.500
Na: 0.000 0.500 0.000
Na: 0.500 0.000 0.000
P: 0.500 0.500 0.500
Ru: 0.000 0.000 0.000

***

Record 9
This record from Alexandria describes a relaxed NaZnAs crystal. The functional is GGA-PBE.

Output
DFT formation energy: -0.30 eV per atom
SG: C2/m, No. 12
crystal system: monoclinic

abc: 8.080 8.080 8.624
angles: 91.71 91.71 30.24
Element x y z (fractional)
Na: 0.039 0.039 0.341
Na: 0.395 0.395 0.127
Na: 0.605 0.605 0.873
Na: 0.961 0.961 0.659
Zn: 0.249 0.249 0.375
Zn: 0.255 0.255 0.864
Zn: 0.745 0.745 0.136
Zn: 0.751 0.751 0.625
As: 0.153 0.153 0.616
As: 0.154 0.154 0.106
As: 0.846 0.846 0.894
As: 0.847 0.847 0.384

***

Record 10
This record from Alexandria describes a relaxed Ac2SmSn2 crystal. The functional is GGA-PBE.

Output
DFT formation energy: -0.63 eV per atom
SG: C2/m, No. 12
energy relative to the lowest polymorph listed for this composition: 13 meV/atom
crystal system: monoclinic

abc: 7.153 7.153 12.001
angles: 115.32 115.32 40.56
Element x y z (fractional)
Ac: 0.012 0.012 0.183
Ac: 0.184 0.184 0.595
Ac: 0.816 0.816 0.405
Ac: 0.988 0.988 0.817
Sm: 0.281 0.281 0.135
Sm: 0.719 0.719 0.865
Sn: 0.374 0.374 0.931
Sn: 0.479 0.479 0.612
Sn: 0.521 0.521 0.388
Sn: 0.626 0.626 0.069

***

Record 11
This record from Alexandria describes a relaxed HoTl2Pb crystal. The functional is GGA-PBE.

Output
DFT formation energy: -0.10 eV per atom
SG: P4/mmm, No. 123
crystal system: tetragonal

abc: 3.976 3.976 7.218
angles: 90.00 90.00 90.00
Element x y z (fractional)
Ho: 0.000 0.000 0.000
Tl: 0.500 0.500 0.248
Tl: 0.500 0.500 0.752
Pb: 0.000 0.000 0.500

***

Record 12
This record from Alexandria describes a relaxed Dy3Tm3Sc crystal. The functional is GGA-PBE.

Output
DFT formation energy: 0.16 eV per atom
SG: R-3, No. 148
energy relative to the lowest polymorph listed for this composition: 148 meV/atom
crystal system: trigonal

abc: 14.141 14.141 14.141
angles: 24.84 24.84 24.84
Element x y z (fractional)
Dy: 0.132 0.462 0.801
Dy: 0.199 0.868 0.538
Dy: 0.462 0.801 0.132
Dy: 0.538 0.199 0.868
Dy: 0.801 0.132 0.462
Dy: 0.868 0.538 0.199
Tm: 0.063 0.729 0.398
Tm: 0.271 0.602 0.937
Tm: 0.398 0.063 0.729
Tm: 0.602 0.937 0.271
Tm: 0.729 0.398 0.063
Tm: 0.937 0.271 0.602
Sc: 0.333 0.333 0.333
Sc: 0.667 0.667 0.667